[1]
This record from the Alexandria database describes crystalline LaPuTh at its relaxed geometry. The functional is PBE.

Cell: 3.5644 3.5644 8.6040 Å, 90.00 90.00 120.00°
Last column: nearest neighbours and their distance in Å.
Fractional coordinates of all 3 atoms:
La 0.0000 0.0000 0.0000  6 La 3.56, 3 Th 3.60, 3 Pu 3.61
Pu 0.6667 0.3333 0.3454  3 Th 3.38, 6 Pu 3.56, 3 La 3.61
Th 0.3333 0.6667 0.6570  3 Pu 3.38, 6 Th 3.56, 3 La 3.60

Raw total energy in eV per atom: -8.763
Offset from the most stable computed form in meV/atom: 16


[2]
This record from the Alexandria database describes crystalline CdInHg6Pb at its relaxed geometry. The functional is PBE.

Cell: 9.2929 9.2929 9.2929 Å, 124.88 114.47 90.80°
Last column: nearest neighbours and their distance in Å.
Fractional coordinates of all 18 atoms:
Cd 0.5000 0.0000 0.0000  6 Hg 2.96-3.04
Cd 0.5000 0.5000 0.5000  6 Hg 2.96-3.04
In 0.0000 0.0000 0.0000  6 Hg 2.99-3.03
In 0.5000 0.0000 0.5000  6 Hg 2.99-3.03
Hg 0.1204 0.8704 0.2500  2 In 3.03, 1 Pb 3.07
Hg 0.1235 0.4167 0.2786  1 In 2.99, 1 Cd 3.04, 1 Pb 3.06, 2 Hg 3.17-3.21
Hg 0.1235 0.8449 0.7068  1 In 2.99, 1 Cd 3.04, 1 Pb 3.06, 2 Hg 3.17-3.21
Hg 0.3436 0.5936 0.7500  2 Cd 2.96, 1 Pb 2.98, 4 Hg 3.21
Hg 0.3619 0.1551 0.7786  1 In 2.99, 1 Cd 3.04, 1 Pb 3.06, 2 Hg 3.17-3.21
Hg 0.3619 0.5833 0.2068  1 In 2.99, 1 Cd 3.04, 1 Pb 3.06, 2 Hg 3.17-3.21
Hg 0.6381 0.4167 0.7932  1 In 2.99, 1 Cd 3.04, 1 Pb 3.06, 2 Hg 3.17-3.21
Hg 0.6381 0.8449 0.2214  1 In 2.99, 1 Cd 3.04, 1 Pb 3.06, 2 Hg 3.17-3.21
Hg 0.6564 0.4064 0.2500  2 Cd 2.96, 1 Pb 2.98, 4 Hg 3.21
Hg 0.8765 0.1551 0.2932  1 In 2.99, 1 Cd 3.04, 1 Pb 3.06, 2 Hg 3.17-3.21
Hg 0.8765 0.5833 0.7214  1 In 2.99, 1 Cd 3.04, 1 Pb 3.06, 2 Hg 3.17-3.21
Hg 0.8796 0.1296 0.7500  2 In 3.03, 1 Pb 3.07
Pb 0.1152 0.3652 0.7500  6 Hg 2.98-3.07
Pb 0.8848 0.6348 0.2500  6 Hg 2.98-3.07

Raw total energy in eV per atom: -0.928


[3]
This record from the Alexandria database describes crystalline TbNd4Y5 at its relaxed geometry. The functional is PBE.

Cell: 8.8802 8.8802 11.2258 Å, 90.08 90.08 23.14°
Last column: nearest neighbours and their distance in Å.
Fractional coordinates of all 10 atoms:
Tb 0.0000 0.0000 0.0000  4 Nd 3.36, 2 Tb 3.56, 4 Y 3.57
Nd 0.1540 0.1540 0.7501  4 Nd 3.56-3.66, 7 Y 3.70-3.88, 1 Tb 3.88
Nd 0.4700 0.4700 0.7506  4 Y 3.32-3.37, 2 Tb 3.36, 4 Nd 3.56-3.66
Nd 0.5300 0.5300 0.2494  4 Y 3.32-3.37, 2 Tb 3.36, 4 Nd 3.56-3.66
Nd 0.8460 0.8460 0.2499  4 Nd 3.56-3.66, 7 Y 3.70-3.88, 1 Tb 3.88
Y 0.0000 0.0000 0.5000  4 Nd 3.37, 6 Y 3.56-3.57
Y 0.3258 0.3258 0.5558  2 Nd 3.33-3.70, 6 Y 3.42-3.57
Y 0.3259 0.3259 0.9446  2 Nd 3.32-3.70, 4 Y 3.42-3.56, 2 Tb 3.57
Y 0.6741 0.6741 0.0554  2 Nd 3.32-3.70, 4 Y 3.42-3.56, 2 Tb 3.57
Y 0.6742 0.6742 0.4442  2 Nd 3.33-3.70, 6 Y 3.42-3.57

Raw total energy in eV per atom: -5.415
Offset from the most stable computed form in meV/atom: 170


[4]
This record from the Alexandria database describes crystalline CaCrP2 at its relaxed geometry. The functional is PBE.

Cell: 4.5270 4.5270 3.5428 Å, 90.00 90.00 100.63°
Last column: nearest neighbours and their distance in Å.
Fractional coordinates of all 4 atoms:
Ca 0.0000 0.0000 0.0000  8 P 2.87, 2 Cr 2.89
Cr 0.5000 0.5000 0.0000  8 P 2.87, 2 Ca 2.89
P 0.0000 0.5000 0.5000  4 Cr 2.87, 4 Ca 2.87, 2 P 2.89
P 0.5000 0.0000 0.5000  4 Cr 2.87, 4 Ca 2.87, 2 P 2.89

Raw total energy in eV per atom: -5.761
Offset from the most stable computed form in meV/atom: 483


[5]
This record from the Alexandria database describes crystalline Ac3Os2N7 at its relaxed geometry. The functional is PBE.

Cell: 11.6478 11.6478 3.8558 Å, 90.00 90.00 160.48°
Last column: nearest neighbours and their distance in Å.
Fractional coordinates of all 12 atoms:
Ac 0.0000 0.0000 0.0000  12 N 2.76-2.93
Ac 0.1776 0.8224 0.0000  8 N 2.73-2.77
Ac 0.8224 0.1776 0.0000  8 N 2.73-2.77
Os 0.4064 0.5936 0.5000  6 N 1.93-2.15
Os 0.5936 0.4064 0.5000  6 N 1.93-2.15
N 0.0931 0.9069 0.5000  2 Os 1.97
N 0.3132 0.6868 0.5000  1 Os 2.14
N 0.4059 0.5941 0.0000  2 Os 1.93
N 0.5000 0.5000 0.5000  2 Os 2.15
N 0.5941 0.4059 0.0000  2 Os 1.93
N 0.6868 0.3132 0.5000  1 Os 2.14
N 0.9069 0.0931 0.5000  2 Os 1.97

Raw total energy in eV per atom: -8.149
Energy relative to the elements, uncorrected in meV/atom: -394


[6]
This record from the Alexandria database describes crystalline BaTaRe at its relaxed geometry. The functional is PBE.

Cell: 4.7601 4.7601 4.7601 Å, 60.00 60.00 60.00°
Last column: nearest neighbours and their distance in Å.
Fractional coordinates of all 3 atoms:
Ba 0.0000 0.0000 0.0000  4 Re 2.91
Ta 0.5000 0.5000 0.5000  4 Re 2.91
Re 0.7500 0.7500 0.7500  4 Ba 2.91, 4 Ta 2.91

Raw total energy in eV per atom: -7.413
Offset from the most stable computed form in meV/atom: 725


[7]
This record from the Alexandria database describes crystalline CuPBr2 at its relaxed geometry. The functional is PBE.

Cell: 4.8209 4.8209 4.8209 Å, 60.00 60.00 60.00°
Last column: nearest neighbours and their distance in Å.
Fractional coordinates of all 4 atoms:
Cu 0.0000 0.0000 0.0000  8 Br 2.95
P 0.5000 0.5000 0.5000  8 Br 2.95
Br 0.2500 0.2500 0.2500  4 P 2.95, 4 Cu 2.95
Br 0.7500 0.7500 0.7500  4 P 2.95, 4 Cu 2.95

Raw total energy in eV per atom: -2.440
Offset from the most stable computed form in meV/atom: 918
Energy relative to the elements, uncorrected in meV/atom: 773


[8]
This record from the Alexandria database describes crystalline TaBeI2O at its relaxed geometry. The functional is PBE.

Cell: 5.7051 5.7051 3.8843 Å, 90.00 90.00 90.00°
Last column: nearest neighbours and their distance in Å.
Fractional coordinates of all 5 atoms:
Ta 0.0000 0.0000 0.0000  2 O 1.94
Be 0.5000 0.5000 0.5000  8 I 3.45
I 0.0000 0.5000 0.0000  2 Ta 2.85
I 0.5000 0.0000 0.0000  2 Ta 2.85
O 0.0000 0.0000 0.5000  2 Ta 1.94

Raw total energy in eV per atom: -4.844
Offset from the most stable computed form in meV/atom: 0
Energy relative to the elements, uncorrected in meV/atom: -116